Material: Nd6ErTe8
Method: DFT, PBE
State: optimized geometry

abc: 12.6628 12.6628 12.6628
angles: 90.00 90.00 90.00
Space group Fm-3m (No. 225)
Symmetry-distinct sites (fractional):
Nd 0.0000 0.2500 0.2500
Er 0.0000 0.0000 0.0000
Te 0.0000 0.0000 0.2475
Te 0.2500 0.2500 0.2500

D(E_F) = 7.3 states/eV/f.u.
Formation energy without anion corrections = -1.441 eV per atom
Crystal system = cubic